DFT (GGA+U) results for NbTlNi2F after structural relaxation.

Summary:
Raw total energy, eV per atom: -1.983
Total moment, μB per cell: 0.0
E above lowest polymorph, meV per atom: 605

Structure (POSCAR):
```
NbTlNi2F
1.0
-4.386 1.123 -1.135
-1.819 -3.412 3.654
0.044 3.400 3.197
Ni F Nb Tl
2 1 1 1
Direct
0.000 0.000 0.500
0.500 0.000 0.000
0.500 0.500 0.500
0.000 0.500 0.000
0.000 0.000 0.000
```